First-principles (PBE) data for an optimized crystal structure of Cs2PaPSe6, as listed in Alexandria.

POSCAR file:
```
Cs2PaPSe6
1.0
6.420 0.000 0.000
0.000 7.796 0.000
0.000 -3.898 6.752
Pa Se P Cs
1 6 1 2
direct
0.500 0.000 0.000 Pa
0.216 0.309 0.155 Se
0.784 0.691 0.845 Se
0.784 0.155 0.309 Se
0.216 0.845 0.155 Se
0.784 0.155 0.845 Se
0.216 0.845 0.691 Se
0.000 0.000 0.000 P
0.759 0.667 0.333 Cs
0.241 0.333 0.667 Cs
```

Its formation energy without anion corrections is -846 meV/atom. The spin magnetization comes out at 0.00 μB/cell. The space group is P-3m1, No. 164. The density of states at the Fermi level is 4.65 states/eV/f.u.

First-principles (PBE) data for an optimized crystal structure of Zr3Zn2O, as listed in Alexandria.

POSCAR file:
```
Zr3Zn2O
1.0
7.348 0.000 0.000
0.000 7.348 0.000
0.000 0.000 7.348
Zr Zn O
12 8 4
direct
0.125 0.208 0.458 Zr
0.208 0.458 0.125 Zr
0.958 0.375 0.792 Zr
0.542 0.625 0.292 Zr
0.042 0.875 0.708 Zr
0.708 0.042 0.875 Zr
0.625 0.292 0.542 Zr
0.292 0.542 0.625 Zr
0.792 0.958 0.375 Zr
0.875 0.708 0.042 Zr
0.375 0.792 0.958 Zr
0.458 0.125 0.208 Zr
0.179 0.821 0.321 Zn
0.429 0.929 0.571 Zn
0.071 0.071 0.071 Zn
0.821 0.321 0.179 Zn
0.679 0.679 0.679 Zn
0.929 0.571 0.429 Zn
0.321 0.179 0.821 Zn
0.571 0.429 0.929 Zn
0.875 0.125 0.625 O
0.625 0.875 0.125 O
0.125 0.625 0.875 O
0.375 0.375 0.375 O
```

Its formation energy without anion corrections is -1028 meV/atom. The spin magnetization comes out at 0.00 μB/cell. The space group is P4_132, No. 213. The density of states at the Fermi level is 4.11 states/eV/f.u.